16
Lattice="7.523 0.000 0.000 0.000 7.523 0.000 0.000 0.000 7.523" Properties=species:S:1:pos:R:3 comment="SmThMgAl | Alexandria via LeMat-Bulk | PBE-GGA | relaxed" space_group=F-43m formation_energy_ev_per_fu=-0.602 final_energy_ev_per_cell=-72.3 pbc="T T T"
Sm 0.000 0.000 0.000
Sm 0.000 3.761 3.761
Sm 3.761 0.000 3.761
Sm 3.761 3.761 0.000
Th 0.000 0.000 3.761
Th 0.000 3.761 0.000
Th 3.761 0.000 0.000
Th 3.761 3.761 3.761
Mg 1.881 1.881 1.881
Mg 1.881 5.642 5.642
Mg 5.642 1.881 5.642
Mg 5.642 5.642 1.881
Al 1.881 1.881 5.642
Al 1.881 5.642 1.881
Al 5.642 1.881 1.881
Al 5.642 5.642 5.642